Below is CaSc2Pt after structural relaxation, with properties calculated at the PBE level.

Cell: 3.459 3.462 8.771 Å, 66.76 90.00 90.00°
Site moments in Bohr magnetons follow the coordinates.
Element x y z (fractional)
Sc1 0.000 0.050 0.949  0.20
Sc2 0.500 0.290 0.210  0.46
Pt1 0.500 0.710 0.790  0.01
Ca1 0.000 0.450 0.550  0.00

Output
SG	P4mm (99)
total energy	-5.6895	eV/atom
formation energy	-513	meV per atom
magnetic moment	1.09	μB/f.u.

=====

Below is CaSc2Pt after structural relaxation, with properties calculated at the PBE level.

Cell: 4.967 4.967 4.967 Å, 60.00 60.00 60.00°
Site moments in Bohr magnetons follow the coordinates.
Element x y z (fractional)
Ca1 0.500 0.500 0.500  0.01
Pt1 0.750 0.750 0.750  -0.01
Sc1 0.250 0.250 0.250  0.20
Sc2 0.000 0.000 0.000  0.10

Output
SG	F-43m (216)
total energy	-5.4513	eV/atom
formation energy	-275	meV per atom
magnetic moment	0.40	μB/f.u.

=====

Below is CaSc4Pt4 after structural relaxation, with properties calculated at the PBE level.

Cell: 5.351 8.886 8.886 Å, 90.00 90.00 90.00°
Element x y z (fractional)
Pt1 0.417 0.355 0.191
Pt2 0.917 0.691 0.145
Pt3 0.583 0.809 0.355
Pt4 0.083 0.145 0.309
Pt5 0.417 0.645 0.809
Pt6 0.083 0.855 0.691
Pt7 0.583 0.191 0.645
Pt8 0.917 0.309 0.855
Sc1 0.410 0.648 0.110
Sc2 0.910 0.610 0.852
Sc3 0.410 0.352 0.890
Sc4 0.590 0.110 0.352
Sc5 0.090 0.852 0.390
Sc6 0.090 0.148 0.610
Sc7 0.590 0.890 0.648
Sc8 0.910 0.390 0.148
Ca1 0.000 0.000 0.000
Ca2 0.500 0.500 0.500

Output
SG	P4_2/n (86)
total energy	-6.6983	eV/atom
formation energy	-977	meV per atom
magnetic moment	0.00	μB/f.u.

=====

Below is CaSc5Pt6 after structural relaxation, with properties calculated at the PBE level.

Cell: 4.714 6.579 7.514 Å, 90.00 71.72 90.00°
Element x y z (fractional)
Ca1 0.000 0.000 0.000
Pt1 0.824 0.746 0.352
Pt2 0.500 0.731 0.000
Pt3 0.500 0.269 0.000
Pt4 0.176 0.254 0.648
Pt5 0.824 0.254 0.352
Pt6 0.176 0.746 0.648
Sc1 0.665 0.000 0.670
Sc2 0.000 0.500 0.000
Sc3 0.335 0.500 0.331
Sc4 0.665 0.500 0.669
Sc5 0.335 0.000 0.330

Output
SG	Cmmm (65)
total energy	-7.0067	eV/atom
formation energy	-1181	meV per atom
magnetic moment	0.00	μB/f.u.

=====

Below is CaSc2Pt after structural relaxation, with properties calculated at the PBE level.

Cell: 3.955 4.683 4.727 Å, 90.00 90.00 90.00°
Element x y z (fractional)
Sc1 0.000 0.000 0.000
Sc2 0.500 0.500 0.000
Pt1 0.000 0.500 0.500
Ca1 0.500 0.000 0.500

Output
SG	Pmmm (47)
total energy	-5.5224	eV/atom
formation energy	-346	meV per atom
magnetic moment	0.00	μB/f.u.

=====

Below is CaScSnPt after structural relaxation, with properties calculated at the PBE level.

Cell: 4.997 4.997 4.997 Å, 60.00 60.00 60.00°
Element x y z (fractional)
Sn1 0.250 0.250 0.250
Sc1 0.000 0.000 0.000
Ca1 0.500 0.500 0.500
Pt1 0.750 0.750 0.750

Output
SG	F-43m (216)
total energy	-5.3185	eV/atom
formation energy	-724	meV per atom
magnetic moment	0.00	μB/f.u.

=====

Below is SrCa2ScPt after structural relaxation, with properties calculated at the PBE level.

Cell: 5.725 5.725 5.217 Å, 90.00 90.00 90.00°
Element x y z (fractional)
Ca1 0.000 0.500 0.000
Ca2 0.500 0.000 0.000
Sr1 0.500 0.500 0.500
Sc1 0.000 0.000 0.500
Pt1 0.000 0.000 0.000

Output
SG	P4/mmm (123)
total energy	-4.0128	eV/atom
formation energy	-401	meV per atom
magnetic moment	0.00	μB/f.u.

=====

Below is CaScTiPt2 after structural relaxation, with properties calculated at the PBE level.

Cell: 4.418 4.418 6.332 Å, 110.42 110.42 90.00°
Element x y z (fractional)
Ca1 0.000 0.000 0.000
Pt1 0.621 0.621 0.241
Pt2 0.379 0.379 0.759
Sc1 0.750 0.250 0.500
Ti1 0.250 0.750 0.500

Output
SG	I-4m2 (119)
total energy	-6.5584	eV/atom
formation energy	-896	meV per atom
magnetic moment	0.00	μB/f.u.